! TaFeH2 | the Alexandria database | PBE | relaxed; values from VASP
! * uncorrected energy: -6.381 eV per atom
! * SG: No. 225
&SYSTEM
  ibrav = 0, nat = 4, ntyp = 3
/
ATOMIC_SPECIES
H 1.01 H.upf
Fe 55.84 Fe.upf
Ta 180.95 Ta.upf
CELL_PARAMETERS angstrom
0.0000 2.5890 2.5890
2.5890 0.0000 2.5890
2.5890 2.5890 0.0000
ATOMIC_POSITIONS crystal
H 0.7500 0.7500 0.7500
Fe 0.0000 0.0000 0.0000
Ta 0.5000 0.5000 0.5000
H 0.2500 0.2500 0.2500



! TaFe2H2 | the Alexandria database | PBE | relaxed; values from VASP
! * uncorrected energy: -7.084 eV per atom
! * SG: No. 139
&SYSTEM
  ibrav = 0, nat = 5, ntyp = 3
/
ATOMIC_SPECIES
H 1.01 H.upf
Fe 55.84 Fe.upf
Ta 180.95 Ta.upf
CELL_PARAMETERS angstrom
3.2172 0.0000 0.0000
0.0000 3.2172 0.0000
1.6086 1.6086 4.2784
ATOMIC_POSITIONS crystal
H 0.2500 0.7500 0.5000
Fe 0.6584 0.6584 0.6832
Fe 0.3416 0.3416 0.3168
H 0.7500 0.2500 0.5000
Ta 0.0000 0.0000 0.0000



! TaFeH3 | the Alexandria database | PBE | relaxed; values from VASP
! * uncorrected energy: -6.042 eV per atom
! * SG: No. 107
&SYSTEM
  ibrav = 0, nat = 5, ntyp = 3
/
ATOMIC_SPECIES
H 1.01 H.upf
Ta 180.95 Ta.upf
Fe 55.84 Fe.upf
CELL_PARAMETERS angstrom
-1.0161 2.7996 0.3462
-2.2244 -1.0215 1.7316
4.0576 -0.4254 2.3657
ATOMIC_POSITIONS crystal
H 0.2733 0.7733 0.5466
H 0.4509 0.4509 0.9018
Ta 0.9484 0.9484 0.8969
Fe 0.6444 0.6444 0.2887
H 0.7733 0.2733 0.5466



! Ta3Fe3H | the Alexandria database | PBE | relaxed; values from VASP
! * uncorrected energy: -9.340 eV per atom
! * SG: No. 227
&SYSTEM
  ibrav = 0, nat = 28, ntyp = 3
/
ATOMIC_SPECIES
Fe 55.84 Fe.upf
H 1.01 H.upf
Ta 180.95 Ta.upf
CELL_PARAMETERS angstrom
-3.5742 1.2350 6.9496
-4.5807 -5.6304 3.1483
2.4079 -3.9177 6.4382
ATOMIC_POSITIONS crystal
Fe 0.8266 0.8266 0.8266
Fe 0.4234 0.7298 0.4234
H 0.6250 0.1250 0.1250
Fe 0.4234 0.4234 0.7298
Fe 0.4234 0.4234 0.4234
Ta 0.4540 0.0460 0.4540
Ta 0.4540 0.0460 0.0460
Fe 0.8266 0.5202 0.8266
Fe 0.6250 0.1250 0.6250
Ta 0.4540 0.4540 0.0460
Ta 0.2040 0.7960 0.2040
Ta 0.0460 0.0460 0.4540
Ta 0.0460 0.4540 0.4540
Ta 0.7960 0.2040 0.7960
Ta 0.0460 0.4540 0.0460
Fe 0.7298 0.4234 0.4234
H 0.1250 0.6250 0.1250
H 0.1250 0.1250 0.1250
Ta 0.2040 0.7960 0.7960
H 0.1250 0.1250 0.6250
Ta 0.2040 0.2040 0.7960
Fe 0.6250 0.6250 0.6250
Ta 0.7960 0.2040 0.2040
Fe 0.1250 0.6250 0.6250
Ta 0.7960 0.7960 0.2040
Fe 0.6250 0.6250 0.1250
Fe 0.5202 0.8266 0.8266
Fe 0.8266 0.8266 0.5202



! TaFeH2 | the Alexandria database | PBE | relaxed; values from VASP
! * uncorrected energy: -6.777 eV per atom
! * SG: No. 63
&SYSTEM
  ibrav = 0, nat = 8, ntyp = 3
/
ATOMIC_SPECIES
Ta 180.95 Ta.upf
H 1.01 H.upf
Fe 55.84 Fe.upf
CELL_PARAMETERS angstrom
-1.6486 -0.5228 2.9572
-3.5954 0.1418 -1.9793
2.0128 -4.9287 0.2508
ATOMIC_POSITIONS crystal
Ta 0.2500 0.1287 0.2574
H 0.2500 0.0306 0.6062
Fe 0.7500 0.5769 0.1538
H 0.7500 0.9694 0.3938
Fe 0.2500 0.4231 0.8462
H 0.7500 0.4243 0.3938
H 0.2500 0.5757 0.6062
Ta 0.7500 0.8713 0.7426



! TaFe2H | the Alexandria database | PBE | relaxed; values from VASP
! * uncorrected energy: -7.973 eV per atom
! * SG: No. 227
&SYSTEM
  ibrav = 0, nat = 8, ntyp = 3
/
ATOMIC_SPECIES
H 1.01 H.upf
Ta 180.95 Ta.upf
Fe 55.84 Fe.upf
CELL_PARAMETERS angstrom
-3.7859 1.0333 3.0324
3.0022 -0.4935 3.9165
0.3992 3.6849 3.2984
ATOMIC_POSITIONS crystal
H 0.2500 0.7500 0.5000
H 0.5000 0.5000 0.0000
Ta 0.0000 0.0000 0.0000
Fe 0.3750 0.6254 0.7500
Fe 0.3746 0.1250 0.2500
Fe 0.8750 0.6246 0.7500
Fe 0.3754 0.6250 0.2500
Ta 0.7500 0.2500 0.5000



! TaFeH4 | the Alexandria database | PBE | relaxed; values from VASP
! * uncorrected energy: -5.451 eV per atom
! * SG: No. 109
&SYSTEM
  ibrav = 0, nat = 12, ntyp = 3
/
ATOMIC_SPECIES
Ta 180.95 Ta.upf
Fe 55.84 Fe.upf
H 1.01 H.upf
CELL_PARAMETERS angstrom
4.8972 0.2655 0.0000
-1.7347 4.5873 0.0000
-1.5812 -2.4264 3.9579
ATOMIC_POSITIONS crystal
Ta 0.2441 0.2441 0.0000
Fe 0.5188 0.0188 0.5000
Ta 0.9941 0.4941 0.5000
Fe 0.7688 0.7688 0.0000
H 0.2706 0.6016 0.3310
H 0.1730 0.9730 0.2000
H 0.7230 0.4230 0.7000
H 0.7230 0.0229 0.3000
H 0.7729 0.9730 0.8000
H 0.3516 0.5206 0.8310
H 0.6896 0.5206 0.1690
H 0.2706 0.9396 0.6690



! Ta3FeH6 | the Alexandria database | PBE | relaxed; values from VASP
! * uncorrected energy: -6.441 eV per atom
! * SG: No. 36
&SYSTEM
  ibrav = 0, nat = 20, ntyp = 3
/
ATOMIC_SPECIES
H 1.01 H.upf
Ta 180.95 Ta.upf
Fe 55.84 Fe.upf
CELL_PARAMETERS angstrom
-3.5969 -1.1105 2.3736
3.4266 -3.6077 3.5047
0.5634 5.1163 3.2475
ATOMIC_POSITIONS crystal
H 0.7104 0.3575 0.3611
H 0.2104 0.3611 0.3575
H 0.1776 0.3927 0.8697
H 0.1142 0.8142 0.1858
H 0.2104 0.6425 0.6389
Ta 0.9561 0.6654 0.9036
Ta 0.4561 0.9036 0.6654
Fe 0.9735 0.1532 0.8468
Ta 0.4561 0.3346 0.0964
H 0.2461 0.0185 0.9815
H 0.6776 0.6073 0.1303
H 0.6142 0.1858 0.8142
H 0.7104 0.6389 0.6425
H 0.1776 0.1303 0.6073
Ta 0.4634 0.3758 0.6242
Ta 0.9561 0.0964 0.3346
H 0.6776 0.8697 0.3927
Ta 0.9634 0.6242 0.3758
H 0.7461 0.9815 0.0185
Fe 0.4735 0.8468 0.1532



! TaFe4H4 | the Alexandria database | PBE | relaxed; values from VASP
! * uncorrected energy: -6.480 eV per atom
! * SG: No. 63
&SYSTEM
  ibrav = 0, nat = 18, ntyp = 3
/
ATOMIC_SPECIES
Ta 180.95 Ta.upf
H 1.01 H.upf
Fe 55.84 Fe.upf
CELL_PARAMETERS angstrom
5.4242 0.3271 0.0000
-0.1901 5.4307 0.0000
0.0000 0.0000 5.0319
ATOMIC_POSITIONS crystal
Ta 0.3194 0.3194 0.7500
H 0.3355 0.6884 0.7500
H 0.1599 0.1599 0.4471
Fe 0.8890 0.5618 0.7500
H 0.8401 0.8401 0.9471
H 0.8401 0.8401 0.5529
Ta 0.6806 0.6806 0.2500
Fe 0.4382 0.1110 0.2500
Fe 0.1666 0.8334 0.5000
H 0.6645 0.3116 0.2500
Fe 0.5618 0.8890 0.7500
Fe 0.8334 0.1666 0.0000
Fe 0.1666 0.8334 0.0000
H 0.1599 0.1599 0.0529
Fe 0.1110 0.4382 0.2500
H 0.3116 0.6645 0.2500
H 0.6884 0.3355 0.7500
Fe 0.8334 0.1666 0.5000



! TaFe2H8 | the Alexandria database | PBE | relaxed; values from VASP
! * uncorrected energy: -5.021 eV per atom
! * SG: No. 123
&SYSTEM
  ibrav = 0, nat = 11, ntyp = 3
/
ATOMIC_SPECIES
H 1.01 H.upf
Fe 55.84 Fe.upf
Ta 180.95 Ta.upf
CELL_PARAMETERS angstrom
-1.4048 -0.3076 -3.7935
-3.2272 -2.0472 1.3611
-1.9978 3.4551 0.4597
ATOMIC_POSITIONS crystal
H 0.7820 0.7820 0.7663
H 0.7820 0.7820 0.2337
Fe 0.5000 0.0000 0.0000
H 0.2180 0.7820 0.2337
H 0.7820 0.2180 0.7663
Fe 0.0000 0.5000 0.0000
Ta 0.5000 0.5000 0.5000
H 0.7820 0.2180 0.2337
H 0.2180 0.2180 0.2337
H 0.2180 0.7820 0.7663
H 0.2180 0.2180 0.7663



! TaFeH3 | the Alexandria database | PBE | relaxed; values from VASP
! * uncorrected energy: -5.661 eV per atom
! * SG: No. 221
&SYSTEM
  ibrav = 0, nat = 5, ntyp = 3
/
ATOMIC_SPECIES
H 1.01 H.upf
Ta 180.95 Ta.upf
Fe 55.84 Fe.upf
CELL_PARAMETERS angstrom
3.5416 0.0000 0.0000
0.0000 3.5416 0.0000
0.0000 0.0000 3.5416
ATOMIC_POSITIONS crystal
H 0.5000 0.0000 0.0000
H 0.0000 0.5000 0.0000
Ta 0.0000 0.0000 0.0000
Fe 0.5000 0.5000 0.5000
H 0.0000 0.0000 0.5000



! TaFe3H | the Alexandria database | PBE | relaxed; values from VASP
! * uncorrected energy: -8.194 eV per atom
! * SG: No. 221
&SYSTEM
  ibrav = 0, nat = 5, ntyp = 3
/
ATOMIC_SPECIES
Ta 180.95 Ta.upf
H 1.01 H.upf
Fe 55.84 Fe.upf
CELL_PARAMETERS angstrom
-3.1173 1.1280 1.6438
-1.7949 -2.9159 -1.4028
0.8677 -1.9791 3.0037
ATOMIC_POSITIONS crystal
Ta 0.5000 0.5000 0.5000
H 0.0000 0.0000 0.0000
Fe 0.0000 0.0000 0.5000
Fe 0.0000 0.5000 0.0000
Fe 0.5000 0.0000 0.0000



! TaFe3H | the Alexandria database | PBE | relaxed; values from VASP
! * uncorrected energy: -6.010 eV per atom
! * SG: No. 221
&SYSTEM
  ibrav = 0, nat = 5, ntyp = 3
/
ATOMIC_SPECIES
H 1.01 H.upf
Ta 180.95 Ta.upf
Fe 55.84 Fe.upf
CELL_PARAMETERS angstrom
-4.1617 1.1659 1.5021
0.0795 -3.5045 2.9407
1.8998 2.7008 3.1673
ATOMIC_POSITIONS crystal
H 0.5000 0.5000 0.5000
Ta 0.0000 0.0000 0.0000
Fe 0.0000 0.5000 0.0000
Fe 0.5000 0.0000 0.0000
Fe 0.0000 0.0000 0.5000



! Ta2FeH2 | the Alexandria database | PBE | relaxed; values from VASP
! * uncorrected energy: -7.798 eV per atom
! * SG: No. 123
&SYSTEM
  ibrav = 0, nat = 5, ntyp = 3
/
ATOMIC_SPECIES
H 1.01 H.upf
Fe 55.84 Fe.upf
Ta 180.95 Ta.upf
CELL_PARAMETERS angstrom
2.9966 0.0000 0.0000
0.0000 2.9966 0.0000
0.0000 0.0000 6.0508
ATOMIC_POSITIONS crystal
H 0.0000 0.5000 0.5000
Fe 0.0000 0.0000 0.0000
Ta 0.5000 0.5000 0.7424
H 0.5000 0.0000 0.5000
Ta 0.5000 0.5000 0.2576



! TaFeTc2H | the Alexandria database | PBE | relaxed; values from VASP
! * uncorrected energy: -8.935 eV per atom
! * SG: No. 123
&SYSTEM
  ibrav = 0, nat = 5, ntyp = 4
/
ATOMIC_SPECIES
Tc 98.00 Tc.upf
H 1.01 H.upf
Fe 55.84 Fe.upf
Ta 180.95 Ta.upf
CELL_PARAMETERS angstrom
-1.0974 -3.6421 1.8628
3.7177 -0.0831 2.0276
-1.3689 1.7325 2.5810
ATOMIC_POSITIONS crystal
Tc 0.0000 0.5000 0.0000
Tc 0.5000 0.0000 0.0000
H 0.0000 0.0000 0.0000
Fe 0.0000 0.0000 0.5000
Ta 0.5000 0.5000 0.5000



! TaTi2FeH | the Alexandria database | PBE | relaxed; values from VASP
! * uncorrected energy: -7.417 eV per atom
! * SG: No. 123
&SYSTEM
  ibrav = 0, nat = 5, ntyp = 4
/
ATOMIC_SPECIES
H 1.01 H.upf
Fe 55.84 Fe.upf
Ta 180.95 Ta.upf
Ti 47.87 Ti.upf
CELL_PARAMETERS angstrom
4.7903 0.0000 0.0000
0.0000 3.0482 0.0000
0.0000 0.0000 4.7903
ATOMIC_POSITIONS crystal
H 0.0000 0.5000 0.0000
Fe 0.0000 0.0000 0.0000
Ta 0.5000 0.5000 0.5000
Ti 0.0000 0.0000 0.5000
Ti 0.5000 0.0000 0.0000



! TaVFe2H | the Alexandria database | PBE | relaxed; values from VASP
! * uncorrected energy: -8.254 eV per atom
! * SG: No. 123
&SYSTEM
  ibrav = 0, nat = 5, ntyp = 4
/
ATOMIC_SPECIES
Fe 55.84 Fe.upf
H 1.01 H.upf
V 50.94 V.upf
Ta 180.95 Ta.upf
CELL_PARAMETERS angstrom
3.7892 0.0000 0.0000
0.0000 3.7892 0.0000
0.0000 0.0000 3.7553
ATOMIC_POSITIONS crystal
Fe 0.0000 0.5000 0.0000
Fe 0.5000 0.0000 0.0000
H 0.0000 0.0000 0.0000
V 0.0000 0.0000 0.5000
Ta 0.5000 0.5000 0.5000



! TaFe2HW | the Alexandria database | PBE | relaxed; values from VASP
! * uncorrected energy: -8.917 eV per atom
! * SG: No. 123
&SYSTEM
  ibrav = 0, nat = 5, ntyp = 4
/
ATOMIC_SPECIES
W 183.84 W.upf
Fe 55.84 Fe.upf
Ta 180.95 Ta.upf
H 1.01 H.upf
CELL_PARAMETERS angstrom
3.8308 0.0000 0.0000
0.0000 3.8308 0.0000
0.0000 0.0000 3.9057
ATOMIC_POSITIONS crystal
W 0.0000 0.0000 0.5000
Fe 0.5000 0.0000 0.0000
Fe 0.0000 0.5000 0.0000
Ta 0.5000 0.5000 0.5000
H 0.0000 0.0000 0.0000



! TaFe2HW | the Alexandria database | PBE | relaxed; values from VASP
! * uncorrected energy: -8.918 eV per atom
! * SG: No. 123
&SYSTEM
  ibrav = 0, nat = 5, ntyp = 4
/
ATOMIC_SPECIES
Fe 55.84 Fe.upf
H 1.01 H.upf
Ta 180.95 Ta.upf
W 183.84 W.upf
CELL_PARAMETERS angstrom
3.8156 0.0000 0.0000
0.0000 3.8156 0.0000
0.0000 0.0000 3.9317
ATOMIC_POSITIONS crystal
Fe 0.0000 0.5000 0.0000
H 0.0000 0.0000 0.0000
Ta 0.0000 0.0000 0.5000
W 0.5000 0.5000 0.5000
Fe 0.5000 0.0000 0.0000



! Ta2ZnFeH | the Alexandria database | PBE | relaxed; values from VASP
! * uncorrected energy: -7.351 eV per atom
! * SG: No. 123
&SYSTEM
  ibrav = 0, nat = 5, ntyp = 4
/
ATOMIC_SPECIES
H 1.01 H.upf
Fe 55.84 Fe.upf
Zn 65.41 Zn.upf
Ta 180.95 Ta.upf
CELL_PARAMETERS angstrom
-1.1805 -3.9271 0.5000
2.7704 -1.1922 -2.8229
2.5456 -0.4243 2.6774
ATOMIC_POSITIONS crystal
H 0.0000 0.0000 0.0000
Fe 0.0000 0.0000 0.5000
Zn 0.5000 0.5000 0.5000
Ta 0.5000 0.0000 0.0000
Ta 0.0000 0.5000 0.0000



! TaZnFe2H | the Alexandria database | PBE | relaxed; values from VASP
! * uncorrected energy: -6.623 eV per atom
! * SG: No. 123
&SYSTEM
  ibrav = 0, nat = 5, ntyp = 4
/
ATOMIC_SPECIES
H 1.01 H.upf
Fe 55.84 Fe.upf
Ta 180.95 Ta.upf
Zn 65.41 Zn.upf
CELL_PARAMETERS angstrom
3.7873 0.0000 0.0000
0.0000 3.7873 0.0000
0.0000 0.0000 3.9048
ATOMIC_POSITIONS crystal
H 0.0000 0.0000 0.0000
Fe 0.0000 0.5000 0.0000
Fe 0.5000 0.0000 0.0000
Ta 0.0000 0.0000 0.5000
Zn 0.5000 0.5000 0.5000